Compound: Cs12Au3I5
Source: Alexandria via LeMat-Bulk
Functional: GGA-PBE
Structure: relaxed

As for the uncorrected formation energy: -0.75 eV/atom. Its crystal system is cubic.

It has space group Ia-3d (No. 230), with a = 22.4635 Å, b = 22.4635 Å, c = 22.4635 Å, α = 90.00°, β = 90.00° and γ = 90.00°. The distinct sites, in fractional coordinates, are Cs at (0.0181, 0.0772, 0.6520), Au at (0.0000, 0.2500, 0.1250), I at (0.0000, 0.0000, 0.0000) and I at (0.0000, 0.2500, 0.3750).

---

Compound: Ba2LiAs2O6
Source: Alexandria via LeMat-Bulk
Functional: GGA-PBE
Structure: relaxed

As for the uncorrected formation energy: -1.76 eV/atom. Its crystal system is trigonal.

It has space group R-3m (No. 166, hexagonal axes), with a = 5.9819 Å, b = 5.9819 Å, c = 17.3452 Å, α = 90.00°, β = 90.00° and γ = 120.00°. The distinct sites, in fractional coordinates, are Ba at (0.0000, 0.0000, 0.2226), Li at (0.0000, 0.0000, 0.0000), As at (0.0000, 0.0000, 0.4307) and O at (0.0083, 0.5042, 0.7489).

---

Compound: EuTmAu2
Source: Alexandria via LeMat-Bulk
Functional: GGA-PBE
Structure: relaxed

For the formation energy, the calculation gives -0.837 eV per atom. Its crystal system is tetragonal.

It has space group P4/mmm (No. 123), with a = 3.6249 Å, b = 3.6249 Å, c = 7.3904 Å, α = 90.00°, β = 90.00° and γ = 90.00°. The distinct sites, in fractional coordinates, are Eu at (0.0000, 0.0000, 0.0000), Tm at (0.0000, 0.0000, 0.5000) and Au at (0.5000, 0.5000, 0.2833).

---

Compound: Pm2Pr2DyTm
Source: Alexandria via LeMat-Bulk
Functional: GGA-PBE
Structure: relaxed

For the formation energy, the calculation gives 0.060 eV per atom. Its crystal system is orthorhombic.

It has space group Pmc2_1 (No. 26), with a = 5.7211 Å, b = 9.9111 Å, c = 7.0939 Å, α = 90.00°, β = 90.00° and γ = 90.00°. The distinct sites, in fractional coordinates, are Pm at (0.0000, 0.1641, 0.0000), Pm at (0.5000, 0.3321, 0.5008), Pr at (0.0000, 0.1784, 0.5001), Pr at (0.5000, 0.0001, 0.2501), Dy at (0.5000, 0.3425, 0.0008) and Tm at (0.0000, 0.5000, 0.2507).

---

Compound: NaNpTaO6
Source: Alexandria via LeMat-Bulk
Functional: GGA-PBE
Structure: relaxed

As for the uncorrected formation energy: -2.64 eV/atom. Its crystal system is trigonal.

It has space group P-31c (No. 163), with a = 5.5300 Å, b = 5.5300 Å, c = 10.2122 Å, α = 90.00°, β = 90.00° and γ = 120.00°. The distinct sites, in fractional coordinates, are Na at (0.0000, 0.0000, 0.0000), Np at (0.3333, 0.6667, 0.2500), Ta at (0.3333, 0.6667, 0.7500) and O at (0.0091, 0.3789, 0.6451).

---

Compound: RbAsS3
Source: Alexandria via LeMat-Bulk
Functional: GGA-PBE
Structure: relaxed

As for the uncorrected formation energy: 1.68 eV/atom. Its crystal system is cubic.

It has space group Pm-3m (No. 221), with a = 5.3734 Å, b = 5.3734 Å, c = 5.3734 Å, α = 90.00°, β = 90.00° and γ = 90.00°. The distinct sites, in fractional coordinates, are Rb at (0.0000, 0.0000, 0.0000), As at (0.5000, 0.5000, 0.5000) and S at (0.0000, 0.0000, 0.5000).